Here is CsBa2Au after structural relaxation from Alexandria. Energies are from PBE-GGA.

Magnetic moment = 0.00 μB/f.u.
Relative energy among the computed polymorphs = 0.363 eV per atom
DFT formation energy = 0.003 eV per atom
E_tot = -1.99 eV per atom

a b c (Å): 8.758 8.758 8.758
angles (deg): 90.00 90.00 90.00
Space group Fm-3m (No. 225)
Unique sites:
Cs 0.000 0.000 0.000 (multiplicity 4)
Ba 0.250 0.250 0.250 (multiplicity 8)
Au 0.000 0.000 0.500 (multiplicity 4)